Entry from the Alexandria database: a geometry-optimized GdHBr structure (PBE).

Computed properties:
Symmetry   P2_1/c (14)
E_tot   -7.36 eV/atom

Unit cell a=5.5168 b=6.9215 c=6.9953 alpha=90.00 beta=106.12 gamma=90.00
Closest atoms and distances in Å follow each position.
Fractional coordinates of all 12 atoms:
Gd 0.1337 0.1200 0.2570  3 H 2.20-2.25
Gd 0.1337 0.3800 0.7570  3 H 2.20-2.25
Gd 0.8663 0.6200 0.2430  3 H 2.20-2.25
Gd 0.8663 0.8800 0.7430  3 H 2.20-2.25
H 0.0510 0.1315 0.9237  3 Gd 2.20-2.25, 1 H 2.26
H 0.0510 0.3685 0.4237  3 Gd 2.20-2.25, 1 H 2.26
H 0.9490 0.6315 0.5763  3 Gd 2.20-2.25, 1 H 2.26
H 0.9490 0.8685 0.0763  3 Gd 2.20-2.25, 1 H 2.26
Br 0.4231 0.7481 0.8824  2 H 2.96-2.99, 4 Gd 3.01-3.12
Br 0.4231 0.7519 0.3824  2 H 2.96-2.99, 4 Gd 3.01-3.12
Br 0.5769 0.2481 0.6176  2 H 2.96-2.99, 4 Gd 3.01-3.12
Br 0.5769 0.2519 0.1176  2 H 2.96-2.99, 4 Gd 3.01-3.12

Entry from the Alexandria database: a geometry-optimized CsKZn2W structure (PBE).

Computed properties:
Symmetry   P4/mmm (123)
E_tot   -1.86 eV/atom

Unit cell a=6.2496 b=6.2496 c=6.5263 alpha=90.00 beta=90.00 gamma=90.00
Closest atoms and distances in Å follow each position.
Fractional coordinates of all 5 atoms:
Cs 0.0000 0.0000 0.0000  4 W 4.42, 8 Zn 4.52
K 0.5000 0.5000 0.5000  4 Zn 3.12, 2 W 3.26
Zn 0.0000 0.5000 0.5000  2 K 3.12
Zn 0.5000 0.0000 0.5000  2 K 3.12
W 0.5000 0.5000 0.0000  2 K 3.26

Entry from the Alexandria database: a geometry-optimized KMo2Os structure (PBE).

Computed properties:
Symmetry   P2/m (10)
Energy relative to the lowest polymorph listed for this composition   0.00 eV/f.u.

Unit cell a=2.7845 b=3.9298 c=8.2267 alpha=90.00 beta=93.32 gamma=90.00
Closest atoms and distances in Å follow each position.
Fractional coordinates of all 4 atoms:
K 0.0000 0.0000 0.0000  2 K 2.78
Mo 0.0228 0.5000 0.6491  1 Mo 2.45, 4 Os 2.70-2.71
Mo 0.9772 0.5000 0.3509  1 Mo 2.45, 4 Os 2.70-2.71
Os 0.5000 0.0000 0.5000  8 Mo 2.70-2.71, 2 Os 2.78